1.
Er7Te2Rh2: optimized geometry, PBEsol.

```
Er7Te2Rh2
1.0
-1.914 7.714 4.635
1.914 -7.714 4.635
1.914 7.714 -4.635
Er Te Rh
7 2 2
Direct
0.000 0.000 0.000
0.056 0.373 0.683
0.087 0.735 0.352
0.382 0.735 0.648
0.450 0.582 0.868
0.690 0.373 0.317
0.713 0.582 0.132
0.336 0.336 0.000
0.733 0.233 0.500
0.305 0.068 0.238
0.830 0.068 0.762
```

ΔE_f (raw) ... -0.88 eV/atom
N(E_F) ... 0.71 states/eV/atom
VASP energy ... -6.14 eV per atom


2.
ErTlRh2: optimized geometry, PBEsol.

```
ErTlRh2
1.0
0.000 3.272 3.272
3.272 0.000 3.272
3.272 3.272 0.000
Er Tl Rh
1 1 2
Direct
0.000 0.000 0.000
0.500 0.500 0.500
0.250 0.250 0.250
0.750 0.750 0.750
```

Formation energy from the elements ... -0.58 eV per atom
N(E_F) ... 0.24 states/eV/atom
VASP energy ... -6.53 eV per atom


3.
ErZnRh: optimized geometry, PBEsol.

```
ErZnRh
1.0
6.787 0.000 0.000
0.000 3.917 0.000
0.000 0.000 7.974
Er Zn Rh
4 4 4
Direct
0.042 0.250 0.183
0.458 0.750 0.683
0.542 0.250 0.317
0.958 0.750 0.817
0.134 0.250 0.563
0.366 0.750 0.063
0.634 0.250 0.937
0.866 0.750 0.437
0.248 0.750 0.375
0.252 0.250 0.875
0.748 0.750 0.125
0.752 0.250 0.625
```

Formation energy from the elements ... -0.73 eV per atom
N(E_F) ... 0.41 states/eV/atom
VASP energy ... -5.61 eV per atom


4.
ErRu2: optimized geometry, PBEsol.

```
ErRu2
1.0
5.172 0.000 0.000
-2.586 4.479 0.000
0.000 0.000 8.742
Er Ru
4 8
Direct
0.333 0.667 0.067
0.333 0.667 0.433
0.667 0.333 0.567
0.667 0.333 0.933
0.000 0.000 0.000
0.000 0.000 0.500
0.171 0.341 0.750
0.171 0.829 0.750
0.341 0.171 0.250
0.659 0.829 0.750
0.829 0.171 0.250
0.829 0.659 0.250
```

Formation energy from the elements ... -0.32 eV per atom
N(E_F) ... 1.16 states/eV/atom
VASP energy ... -8.75 eV per atom


5.
ErSiRu: optimized geometry, PBEsol.

```
ErSiRu
1.0
6.859 0.000 0.000
0.000 4.265 0.000
0.000 0.000 6.987
Er Si Ru
4 4 4
Direct
0.014 0.250 0.187
0.486 0.750 0.687
0.514 0.250 0.313
0.986 0.750 0.813
0.197 0.250 0.608
0.303 0.750 0.108
0.697 0.250 0.892
0.803 0.750 0.392
0.154 0.750 0.434
0.346 0.250 0.934
0.654 0.750 0.066
0.846 0.250 0.566
```

ΔE_f (raw) ... -0.88 eV/atom
N(E_F) ... 0.81 states/eV/atom
VASP energy ... -7.83 eV per atom


6.
Er2Si5Ru3: optimized geometry, PBEsol.

```
Er2Si5Ru3
1.0
-4.745 6.009 2.757
4.745 -6.009 2.757
4.745 6.009 -2.757
Er Si Ru
4 10 6
Direct
0.137 0.232 0.369
0.363 0.732 0.095
0.637 0.268 0.905
0.863 0.768 0.631
0.043 0.750 0.293
0.095 0.671 0.765
0.250 0.250 0.000
0.405 0.171 0.576
0.457 0.750 0.707
0.543 0.250 0.293
0.595 0.829 0.424
0.750 0.750 0.000
0.905 0.329 0.235
0.957 0.250 0.707
0.147 0.908 0.055
0.250 0.750 0.500
0.353 0.408 0.761
0.647 0.592 0.239
0.750 0.250 0.500
0.853 0.092 0.945
```

ΔE_f (raw) ... -0.90 eV/atom
N(E_F) ... 0.23 states/eV/atom
VASP energy ... -7.81 eV per atom


- Which of these has the lowest VASP energy?
  ErRu2